{"formula": "Ho2TmTh", "functional": "GGA-PBE", "state": "optimized geometry", "lattice_angstrom": [[7.9623, 0.0000, 0.0000], [0.0000, 7.9623, 0.0000], [0.0000, 0.0000, 7.9623]], "species": ["Ho", "Ho", "Ho", "Ho", "Ho", "Ho", "Ho", "Ho", "Tm", "Tm", "Tm", "Tm", "Th", "Th", "Th", "Th"], "frac_coords": [[0.2500, 0.2500, 0.2500], [0.2500, 0.2500, 0.7500], [0.2500, 0.7500, 0.2500], [0.2500, 0.7500, 0.7500], [0.7500, 0.2500, 0.2500], [0.7500, 0.2500, 0.7500], [0.7500, 0.7500, 0.2500], [0.7500, 0.7500, 0.7500], [0.0000, 0.0000, 0.0000], [0.0000, 0.5000, 0.5000], [0.5000, 0.0000, 0.5000], [0.5000, 0.5000, 0.0000], [0.0000, 0.0000, 0.5000], [0.0000, 0.5000, 0.0000], [0.5000, 0.0000, 0.0000], [0.5000, 0.5000, 0.5000]], "total_magnetization_mub_per_cell": 0.00, "sg": "Fm-3m, No. 225", "crystal_system": "cubic", "ef_ev_per_atom": 0.16, "total_energy_ev_per_atom": -5.106, "e_above_lowest_polymorph_mev_per_atom": 129.0, "dos_ef_per_ev_cell": 33.556}


{"formula": "ScRe2Ge2", "functional": "GGA-PBE", "state": "optimized geometry", "lattice_angstrom": [[4.4267, 0.0000, 0.0000], [0.0000, 4.4267, 0.0000], [0.0000, 0.0000, 9.5223]], "species": ["Sc", "Sc", "Re", "Re", "Re", "Re", "Ge", "Ge", "Ge", "Ge"], "frac_coords": [[0.0000, 0.0000, 0.0000], [0.5000, 0.5000, 0.5000], [0.0000, 0.0000, 0.3789], [0.0000, 0.0000, 0.6211], [0.5000, 0.5000, 0.1211], [0.5000, 0.5000, 0.8789], [0.0000, 0.5000, 0.2500], [0.0000, 0.5000, 0.7500], [0.5000, 0.0000, 0.2500], [0.5000, 0.0000, 0.7500]], "total_magnetization_mub_per_cell": 0.00, "sg": "I4/mmm, No. 139", "crystal_system": "tetragonal", "ef_ev_per_atom": 0.08, "total_energy_ev_per_atom": -8.010, "dos_ef_per_ev_cell": 9.767}


{"formula": "Cs2NaAs2", "functional": "GGA-PBE", "state": "optimized geometry", "lattice_angstrom": [[3.9828, 0.0000, 0.0000], [0.0000, 3.9828, 0.0000], [0.0000, 0.0000, 27.0854]], "species": ["Cs", "Cs", "Cs", "Cs", "Na", "Na", "As", "As", "As", "As"], "frac_coords": [[0.0000, 0.0000, 0.1396], [0.0000, 0.0000, 0.8604], [0.5000, 0.5000, 0.3604], [0.5000, 0.5000, 0.6396], [0.0000, 0.0000, 0.5000], [0.5000, 0.5000, 0.0000], [0.0000, 0.5000, 0.2500], [0.0000, 0.5000, 0.7500], [0.5000, 0.0000, 0.2500], [0.5000, 0.0000, 0.7500]], "total_magnetization_mub_per_cell": 0.00, "sg": "I4/mmm, No. 139", "crystal_system": "tetragonal", "ef_ev_per_atom": -0.04, "total_energy_ev_per_atom": -2.506, "e_above_lowest_polymorph_mev_per_atom": 296.3, "dos_ef_per_ev_cell": 7.129}


{"formula": "Ca2MgVN4", "functional": "GGA-PBE", "state": "optimized geometry", "lattice_angstrom": [[7.1534, 0.0000, 0.0000], [0.0000, 6.1938, 0.0000], [0.0000, 0.0000, 5.4998]], "species": ["Ca", "Ca", "Ca", "Ca", "Mg", "Mg", "V", "V", "N", "N", "N", "N", "N", "N", "N", "N"], "frac_coords": [[0.2497, 0.1910, 0.0000], [0.2503, 0.8090, 0.5000], [0.7503, 0.1910, 0.0000], [0.7497, 0.8090, 0.5000], [0.0000, 0.3389, 0.5118], [0.5000, 0.6611, 0.0118], [0.0000, 0.6657, 0.0177], [0.5000, 0.3343, 0.5177], [0.0000, 0.4011, 0.8813], [0.0000, 0.6316, 0.3391], [0.2241, 0.8069, 0.9494], [0.2759, 0.1931, 0.4494], [0.5000, 0.3684, 0.8391], [0.5000, 0.5989, 0.3813], [0.7241, 0.1931, 0.4494], [0.7759, 0.8069, 0.9494]], "total_magnetization_mub_per_cell": 2.07, "sg": "Pmn2_1, No. 31", "crystal_system": "orthorhombic", "total_energy_ev_per_atom": -6.840, "dos_ef_per_ev_cell": 8.262}


{"formula": "RbYPb", "functional": "GGA-PBE", "state": "optimized geometry", "lattice_angstrom": [[9.6408, 0.0000, 0.0000], [0.0000, 5.4172, 0.0000], [0.0000, 0.0000, 8.7897]], "species": ["Rb", "Rb", "Rb", "Rb", "Y", "Y", "Y", "Y", "Pb", "Pb", "Pb", "Pb"], "frac_coords": [[0.0027, 0.2500, 0.1453], [0.4973, 0.7500, 0.6453], [0.5027, 0.2500, 0.3547], [0.9973, 0.7500, 0.8547], [0.1383, 0.2500, 0.5734], [0.3617, 0.7500, 0.0734], [0.6383, 0.2500, 0.9266], [0.8617, 0.7500, 0.4266], [0.1844, 0.7500, 0.3806], [0.3156, 0.2500, 0.8806], [0.6844, 0.7500, 0.1194], [0.8156, 0.2500, 0.6194]], "total_magnetization_mub_per_cell": 0.00, "sg": "Pnma, No. 62", "crystal_system": "orthorhombic", "ef_ev_per_atom": -0.20, "total_energy_ev_per_atom": -3.911, "e_above_lowest_polymorph_mev_per_atom": 88.4, "dos_ef_per_ev_cell": 0.000}


{"formula": "CuRuW", "functional": "GGA-PBE", "state": "optimized geometry", "lattice_angstrom": [[2.7924, 0.0000, 0.0000], [0.0000, 3.7652, 0.0000], [0.0000, 0.0000, 8.0370]], "species": ["Cu", "Cu", "Ru", "Ru", "W", "W"], "frac_coords": [[0.0000, 0.0000, 0.0000], [0.5000, 0.5000, 0.5000], [0.0000, 0.0000, 0.6636], [0.5000, 0.5000, 0.1636], [0.0000, 0.0000, 0.3320], [0.5000, 0.5000, 0.8320]], "total_magnetization_mub_per_cell": 0.00, "sg": "Imm2, No. 44", "crystal_system": "orthorhombic", "ef_ev_per_atom": 0.11, "total_energy_ev_per_atom": -8.666, "e_above_lowest_polymorph_mev_per_atom": 0.0, "dos_ef_per_ev_cell": 3.736}


{"formula": "Ac2Zn9Cd", "functional": "GGA-PBE", "state": "optimized geometry", "lattice_angstrom": [[2.8951, 1.6715, 8.7040], [-2.8951, 1.6715, 8.7040], [0.0000, -3.3430, 8.7040]], "species": ["Ac", "Ac", "Zn", "Zn", "Zn", "Zn", "Zn", "Zn", "Zn", "Zn", "Zn", "Cd"], "frac_coords": [[0.1389, 0.1389, 0.1389], [0.8611, 0.8611, 0.8611], [0.0772, 0.5790, 0.5790], [0.3344, 0.3344, 0.3344], [0.4210, 0.4210, 0.9228], [0.4210, 0.9228, 0.4210], [0.5000, 0.5000, 0.5000], [0.5790, 0.0772, 0.5790], [0.5790, 0.5790, 0.0772], [0.6656, 0.6656, 0.6656], [0.9228, 0.4210, 0.4210], [0.0000, 0.0000, 0.0000]], "total_magnetization_mub_per_cell": 0.00, "sg": "R-3m, No. 166", "crystal_system": "trigonal", "ef_ev_per_atom": -0.06, "total_energy_ev_per_atom": -1.775, "dos_ef_per_ev_cell": 5.867}


{"formula": "Pr3P2Rh9Pb", "functional": "GGA-PBE", "state": "optimized geometry", "lattice_angstrom": [[6.1208, 0.0000, 0.0000], [-3.0604, 5.3007, 0.0000], [0.0000, 0.0000, 9.4797]], "species": ["Pr", "Pr", "Pr", "P", "P", "Rh", "Rh", "Rh", "Rh", "Rh", "Rh", "Rh", "Rh", "Rh", "Pb"], "frac_coords": [[0.0000, 0.0000, 0.0000], [0.3333, 0.6667, 0.7121], [0.6667, 0.3333, 0.2879], [0.3333, 0.6667, 0.1558], [0.6667, 0.3333, 0.8442], [0.0000, 0.5000, 0.0000], [0.1516, 0.3032, 0.2661], [0.1516, 0.8484, 0.2661], [0.3032, 0.1516, 0.7339], [0.5000, 0.0000, 0.0000], [0.5000, 0.5000, 0.0000], [0.6968, 0.8484, 0.2661], [0.8484, 0.1516, 0.7339], [0.8484, 0.6968, 0.7339], [0.0000, 0.0000, 0.5000]], "total_magnetization_mub_per_cell": 0.00, "sg": "P-3m1, No. 164", "crystal_system": "trigonal", "ef_ev_per_atom": -0.57, "total_energy_ev_per_atom": -6.903, "dos_ef_per_ev_cell": 5.798}


{"formula": "ZrBeSn2Pt", "functional": "GGA-PBE", "state": "optimized geometry", "lattice_angstrom": [[4.9153, 0.0000, 0.0000], [0.0000, 4.9153, 0.0000], [0.0000, 0.0000, 4.2371]], "species": ["Zr", "Be", "Sn", "Sn", "Pt"], "frac_coords": [[0.0000, 0.0000, 0.0000], [0.5000, 0.5000, 0.5000], [0.0000, 0.5000, 0.5000], [0.5000, 0.0000, 0.5000], [0.5000, 0.5000, 0.0000]], "total_magnetization_mub_per_cell": 0.00, "sg": "P4/mmm, No. 123", "crystal_system": "tetragonal", "ef_ev_per_atom": 0.05, "total_energy_ev_per_atom": -5.213, "dos_ef_per_ev_cell": 4.027}


{"formula": "ZnFeMo2", "functional": "GGA-PBE", "state": "optimized geometry", "lattice_angstrom": [[2.6150, 0.0000, 0.0000], [0.0000, 4.3662, 0.0000], [-0.6659, 0.0000, 5.0240]], "species": ["Zn", "Fe", "Mo", "Mo"], "frac_coords": [[0.0000, 0.0000, 0.0000], [0.9096, 0.5000, 0.2581], [0.3807, 0.5000, 0.7592], [0.5932, 0.0000, 0.4875]], "total_magnetization_mub_per_cell": 2.04, "sg": "Pm, No. 6", "crystal_system": "monoclinic", "ef_ev_per_atom": 0.13, "total_energy_ev_per_atom": -7.722, "dos_ef_per_ev_cell": 2.481}


{"formula": "AgPBr", "functional": "GGA-PBE", "state": "optimized geometry", "lattice_angstrom": [[3.7571, 0.0000, 0.0000], [-1.8786, 3.2538, 0.0000], [0.0000, 0.0000, 5.2921]], "species": ["Ag", "P", "Br"], "frac_coords": [[0.0000, 0.0000, 0.0000], [0.3333, 0.6667, 0.7534], [0.6667, 0.3333, 0.3552]], "total_magnetization_mub_per_cell": 0.00, "sg": "P3m1, No. 156", "crystal_system": "trigonal", "total_energy_ev_per_atom": -2.937, "e_above_lowest_polymorph_mev_per_atom": 405.4, "dos_ef_per_ev_cell": 2.100}


{"formula": "SmAlTe", "functional": "GGA-PBE", "state": "optimized geometry", "lattice_angstrom": [[5.7593, 0.0000, 0.0000], [0.0000, 5.7678, 0.0000], [0.0000, 0.0000, 9.8376]], "species": ["Sm", "Sm", "Sm", "Sm", "Al", "Al", "Al", "Al", "Te", "Te", "Te", "Te"], "frac_coords": [[0.0000, 0.0000, 0.1765], [0.0000, 0.0000, 0.8235], [0.5000, 0.5000, 0.1765], [0.5000, 0.5000, 0.8235], [0.0000, 0.0000, 0.5000], [0.0000, 0.5000, 0.0000], [0.5000, 0.0000, 0.0000], [0.5000, 0.5000, 0.5000], [0.0000, 0.5000, 0.3114], [0.0000, 0.5000, 0.6886], [0.5000, 0.0000, 0.3114], [0.5000, 0.0000, 0.6886]], "total_magnetization_mub_per_cell": 0.00, "sg": "Cmmm, No. 65", "crystal_system": "orthorhombic", "total_energy_ev_per_atom": -4.456, "dos_ef_per_ev_cell": 7.594}


{"formula": "Ca3U3NbN8", "functional": "GGA-PBE", "state": "optimized geometry", "lattice_angstrom": [[3.3998, 1.9629, 5.6902], [-3.3998, 1.9629, 5.6902], [0.0000, -3.9257, 5.6902]], "species": ["Ca", "Ca", "Ca", "U", "U", "U", "Nb", "N", "N", "N", "N", "N", "N", "N", "N"], "frac_coords": [[0.0000, 0.5000, 0.5000], [0.5000, 0.0000, 0.5000], [0.5000, 0.5000, 0.0000], [0.0000, 0.0000, 0.5000], [0.0000, 0.5000, 0.0000], [0.5000, 0.0000, 0.0000], [0.5000, 0.5000, 0.5000], [0.2423, 0.2423, 0.2423], [0.2453, 0.7246, 0.7246], [0.2754, 0.2754, 0.7547], [0.2754, 0.7547, 0.2754], [0.7246, 0.2453, 0.7246], [0.7246, 0.7246, 0.2453], [0.7547, 0.2754, 0.2754], [0.7577, 0.7577, 0.7577]], "total_magnetization_mub_per_cell": 4.34, "sg": "R-3m, No. 166", "crystal_system": "trigonal", "total_energy_ev_per_atom": -8.980, "dos_ef_per_ev_cell": 11.339}


{"formula": "La3CoPb", "functional": "GGA-PBE", "state": "optimized geometry", "lattice_angstrom": [[6.1420, 0.0000, 0.0000], [0.0000, 10.9735, 0.0000], [0.0000, 0.0000, 8.6046]], "species": ["La", "La", "La", "La", "La", "La", "La", "La", "La", "La", "La", "La", "Co", "Co", "Co", "Co", "Pb", "Pb", "Pb", "Pb"], "frac_coords": [[0.0154, 0.1053, 0.1460], [0.0154, 0.3947, 0.1460], [0.1969, 0.2500, 0.6939], [0.3031, 0.7500, 0.1939], [0.4846, 0.6053, 0.6460], [0.4846, 0.8947, 0.6460], [0.5154, 0.1053, 0.3540], [0.5154, 0.3947, 0.3540], [0.6969, 0.2500, 0.8061], [0.8031, 0.7500, 0.3061], [0.9846, 0.6053, 0.8540], [0.9846, 0.8947, 0.8540], [0.0395, 0.2500, 0.3961], [0.4605, 0.7500, 0.8961], [0.5395, 0.2500, 0.1039], [0.9605, 0.7500, 0.6039], [0.0000, 0.0000, 0.5000], [0.0000, 0.5000, 0.5000], [0.5000, 0.0000, 0.0000], [0.5000, 0.5000, 0.0000]], "total_magnetization_mub_per_cell": 0.00, "sg": "Pnma, No. 62", "crystal_system": "orthorhombic", "ef_ev_per_atom": -0.17, "total_energy_ev_per_atom": -5.289, "e_above_lowest_polymorph_mev_per_atom": 224.6, "dos_ef_per_ev_cell": 14.791}


{"formula": "Ho12Co3N5", "functional": "GGA-PBE", "state": "optimized geometry", "lattice_angstrom": [[-7.4873, 7.4873, 7.4873], [7.4873, -7.4873, 7.4873], [7.4873, 7.4873, -7.4873]], "species": ["Ho", "Ho", "Ho", "Ho", "Ho", "Ho", "Ho", "Ho", "Ho", "Ho", "Ho", "Ho", "Ho", "Ho", "Ho", "Ho", "Ho", "Ho", "Ho", "Ho", "Ho", "Ho", "Ho", "Ho", "Ho", "Ho", "Ho", "Ho", "Ho", "Ho", "Ho", "Ho", "Ho", "Ho", "Ho", "Ho", "Ho", "Ho", "Ho", "Ho", "Ho", "Ho", "Ho", "Ho", "Ho", "Ho", "Ho", "Ho", "Co", "Co", "Co", "Co", "Co", "Co", "Co", "Co", "Co", "Co", "Co", "Co", "N", "N", "N", "N", "N", "N", "N", "N", "N", "N", "N", "N", "N", "N", "N", "N", "N", "N", "N", "N"], "frac_coords": [[0.0252, 0.2064, 0.1220], [0.0252, 0.3188, 0.9031], [0.0844, 0.7064, 0.6812], [0.0844, 0.8780, 0.4031], [0.0969, 0.6220, 0.4156], [0.0969, 0.9748, 0.6812], [0.1220, 0.0252, 0.2064], [0.1220, 0.5969, 0.9156], [0.1812, 0.2064, 0.5844], [0.1812, 0.4748, 0.5969], [0.2064, 0.1220, 0.0252], [0.2064, 0.5844, 0.1812], [0.2936, 0.3188, 0.9156], [0.2936, 0.4748, 0.3780], [0.3188, 0.9031, 0.0252], [0.3188, 0.9156, 0.2936], [0.3780, 0.2936, 0.4748], [0.3780, 0.5844, 0.9031], [0.4031, 0.0844, 0.8780], [0.4031, 0.8188, 0.5252], [0.4156, 0.0969, 0.6220], [0.4156, 0.8188, 0.7936], [0.4748, 0.3780, 0.2936], [0.4748, 0.5969, 0.1812], [0.5252, 0.4031, 0.8188], [0.5252, 0.6220, 0.7064], [0.5844, 0.1812, 0.2064], [0.5844, 0.9031, 0.3780], [0.5969, 0.1812, 0.4748], [0.5969, 0.9156, 0.1220], [0.6220, 0.4156, 0.0969], [0.6220, 0.7064, 0.5252], [0.6812, 0.0844, 0.7064], [0.6812, 0.0969, 0.9748], [0.7064, 0.5252, 0.6220], [0.7064, 0.6812, 0.0844], [0.7936, 0.4156, 0.8188], [0.7936, 0.8780, 0.9748], [0.8188, 0.5252, 0.4031], [0.8188, 0.7936, 0.4156], [0.8780, 0.4031, 0.0844], [0.8780, 0.9748, 0.7936], [0.9031, 0.0252, 0.3188], [0.9031, 0.3780, 0.5844], [0.9156, 0.1220, 0.5969], [0.9156, 0.2936, 0.3188], [0.9748, 0.6812, 0.0969], [0.9748, 0.7936, 0.8780], [0.1250, 0.2500, 0.3750], [0.1250, 0.3750, 0.7500], [0.2500, 0.3750, 0.1250], [0.2500, 0.8750, 0.6250], [0.3750, 0.1250, 0.2500], [0.3750, 0.7500, 0.1250], [0.6250, 0.2500, 0.8750], [0.6250, 0.8750, 0.7500], [0.7500, 0.1250, 0.3750], [0.7500, 0.6250, 0.8750], [0.8750, 0.6250, 0.2500], [0.8750, 0.7500, 0.6250], [0.0000, 0.0000, 0.0000], [0.0000, 0.0000, 0.5000], [0.0000, 0.5000, 0.0000], [0.0000, 0.5000, 0.5000], [0.1250, 0.7500, 0.8750], [0.1250, 0.8750, 0.2500], [0.2500, 0.1250, 0.8750], [0.2500, 0.6250, 0.3750], [0.3750, 0.2500, 0.6250], [0.3750, 0.6250, 0.7500], [0.5000, 0.0000, 0.0000], [0.5000, 0.0000, 0.5000], [0.5000, 0.5000, 0.0000], [0.5000, 0.5000, 0.5000], [0.6250, 0.3750, 0.2500], [0.6250, 0.7500, 0.3750], [0.7500, 0.3750, 0.6250], [0.7500, 0.8750, 0.1250], [0.8750, 0.1250, 0.7500], [0.8750, 0.2500, 0.1250]], "total_magnetization_mub_per_cell": 0.00, "sg": "Ia-3d, No. 230", "crystal_system": "cubic", "total_energy_ev_per_atom": -6.640, "dos_ef_per_ev_cell": 55.739}


{"formula": "TiNb2V", "functional": "GGA-PBE", "state": "optimized geometry", "lattice_angstrom": [[7.0674, 0.0000, 0.0000], [0.0000, 7.0674, 0.0000], [0.0000, 0.0000, 5.5841]], "species": ["Ti", "Ti", "Ti", "Ti", "Nb", "Nb", "Nb", "Nb", "Nb", "Nb", "Nb", "Nb", "V", "V", "V", "V"], "frac_coords": [[0.0000, 0.0000, 0.0000], [0.0000, 0.5000, 0.2500], [0.5000, 0.0000, 0.7500], [0.5000, 0.5000, 0.5000], [0.2379, 0.7500, 0.6250], [0.2500, 0.2379, 0.3750], [0.2500, 0.2621, 0.8750], [0.2621, 0.7500, 0.1250], [0.7379, 0.2500, 0.1250], [0.7500, 0.7379, 0.8750], [0.7500, 0.7621, 0.3750], [0.7621, 0.2500, 0.6250], [0.0000, 0.0000, 0.5000], [0.0000, 0.5000, 0.7500], [0.5000, 0.0000, 0.2500], [0.5000, 0.5000, 0.0000]], "total_magnetization_mub_per_cell": 0.00, "sg": "I-42d, No. 122", "crystal_system": "tetragonal", "ef_ev_per_atom": 0.49, "total_energy_ev_per_atom": -8.795, "e_above_lowest_polymorph_mev_per_atom": 444.6, "dos_ef_per_ev_cell": 19.124}